[1]
DFT (PBE) results for a geometry-optimized TiRh2 structure.

extended XYZ file:
```
6
Lattice="3.741 0.000 0.000 0.000 3.692 -1.224 0.000 0.046 6.318" Properties=species:S:1:pos:R:3 pbc="T T T"
Ti 0.000 3.158 3.348
Ti 0.000 0.579 1.747
Rh 1.870 0.000 0.000
Rh 1.870 1.258 3.796
Rh 0.000 1.846 -0.612
Rh 1.870 2.479 1.299
```

Computed properties:
As for the calculated formation energy: -0.7075 eV/atom. The total magnetization comes out at 0.000 μB per formula unit. Its final energy is -24.7 eV/f.u. As for the space group: Cmmm.

[2]
DFT (PBE) results for a geometry-optimized TiRh2 structure.

extended XYZ file:
```
12
Lattice="-2.962 0.327 -2.901 0.312 -5.242 -0.911 -5.523 -1.284 5.494" Properties=species:S:1:pos:R:3 pbc="T T T"
Ti -4.302 -1.901 -0.294
Ti -5.622 -2.046 4.018
Ti -2.551 -4.152 -2.336
Ti -3.871 -4.297 1.977
Rh -6.240 -5.767 1.248
Rh -2.126 -3.133 0.326
Rh -6.047 -3.065 1.356
Rh -1.933 -0.431 0.434
Rh -4.375 -4.675 -0.532
Rh -5.707 -4.624 3.814
Rh -2.466 -1.574 -2.132
Rh -3.797 -1.523 2.215
```

Computed properties:
As for the calculated formation energy: -0.7304 eV/atom. The total magnetization comes out at 0.000 μB per formula unit. Its final energy is -24.8 eV/f.u. As for the space group: Pnma.

[3]
DFT (PBE) results for a geometry-optimized TiRh structure.

extended XYZ file:
```
32
Lattice="9.792 0.000 0.000 0.000 7.838 0.000 0.000 0.000 6.770" Properties=species:S:1:pos:R:3 pbc="T T T"
Ti 0.000 1.545 0.000
Ti 0.000 6.292 0.000
Ti 2.448 4.333 1.692
Ti 2.448 7.423 1.692
Ti 0.000 5.464 3.385
Ti 0.000 2.374 3.385
Ti 2.448 0.414 5.077
Ti 2.448 3.505 5.077
Ti 4.896 1.545 3.385
Ti 4.896 6.292 3.385
Ti 7.344 4.333 5.077
Ti 7.344 7.423 5.077
Ti 4.896 5.464 0.000
Ti 4.896 2.374 0.000
Ti 7.344 0.414 1.692
Ti 7.344 3.505 1.692
Rh 0.000 0.000 2.036
Rh 0.000 0.000 4.734
Rh 2.448 5.878 6.427
Rh 2.448 5.878 3.728
Rh 0.000 3.919 5.420
Rh 0.000 3.919 1.349
Rh 2.448 1.959 3.042
Rh 2.448 1.959 0.343
Rh 4.896 0.000 5.420
Rh 4.896 0.000 1.349
Rh 7.344 5.878 3.042
Rh 7.344 5.878 0.343
Rh 4.896 3.919 2.036
Rh 4.896 3.919 4.734
Rh 7.344 1.959 6.427
Rh 7.344 1.959 3.728
```

Computed properties:
As for the calculated formation energy: -0.4475 eV/atom. The total magnetization comes out at 0.000 μB per formula unit. Its final energy is -16.1 eV/f.u. As for the space group: Fddd.

[4]
DFT (PBE) results for a geometry-optimized TiRh structure.

extended XYZ file:
```
16
Lattice="-4.410 -1.570 -0.849 1.722 -2.654 -4.038 1.722 -8.118 6.070" Properties=species:S:1:pos:R:3 pbc="T T T"
Ti 0.168 -5.907 1.270
Ti -2.695 -5.357 1.798
Ti 0.284 -11.353 1.640
Ti 0.310 -2.066 -2.341
Ti 0.488 -5.306 -1.871
Ti -1.415 -8.655 0.877
Ti -1.956 -3.529 -0.822
Ti 0.950 -7.193 4.183
Rh -1.749 -6.462 -0.310
Rh 1.197 -7.366 -0.611
Rh -0.647 -0.945 -0.208
Rh -0.734 -9.911 3.496
Rh 0.407 -3.462 0.013
Rh -1.444 -7.271 3.341
Rh -1.808 -5.478 -2.865
Rh 0.911 -8.472 1.877
```

Computed properties:
As for the calculated formation energy: -0.6425 eV/atom. The total magnetization comes out at 0.000 μB per formula unit. Its final energy is -16.5 eV/f.u. As for the space group: P2_12_12_1.

[5]
DFT (PBE) results for a geometry-optimized TiRh structure.

extended XYZ file:
```
8
Lattice="-5.388 1.351 0.635 -1.388 -3.658 -3.994 -0.549 -4.007 3.860" Properties=species:S:1:pos:R:3 pbc="T T T"
Ti -1.831 -1.578 0.125
Ti -2.800 -5.411 0.058
Ti -4.800 -2.907 2.373
Ti -5.219 -2.732 -1.554
Rh 0.000 0.000 0.000
Rh -0.969 -3.832 -0.067
Rh -2.969 -1.328 2.248
Rh -3.388 -1.153 -1.679
```

Computed properties:
As for the calculated formation energy: 0.3445 eV/atom. The total magnetization comes out at 0.693 μB per formula unit. Its final energy is -14.6 eV/f.u. As for the space group: F-43m.

[6]
DFT (PBE) results for a geometry-optimized Ti5Rh structure.

extended XYZ file:
```
6
Lattice="4.570 0.000 0.000 0.000 3.065 0.000 0.000 -1.532 6.911" Properties=species:S:1:pos:R:3 pbc="T T T"
Rh 0.000 0.000 0.000
Ti 2.285 1.532 4.595
Ti 0.000 1.532 2.233
Ti 2.285 1.532 0.000
Ti 0.000 0.000 4.677
Ti 2.285 0.000 2.316
```

Computed properties:
The offset from the most stable computed form is 19 meV per atom. As for the calculated formation energy: -0.2482 eV/atom. The total magnetization comes out at 0.004 μB per formula unit. Its final energy is -48.3 eV/f.u. As for the space group: Cmmm.

Q: Which value of final energy does entry 5 give?
A: -14.6 eV/f.u.

Q: The lowest calculated formation energy belongs to which entry?
A: number 2